Computed, not measured: TcBi2Rh after structural relaxation at the PBE-GGA level of DFT.

Summary:
ΔE to the lowest computed polymorph: 0.391 eV/atom
Formation energy: 786 meV/atom

a b c (Å): 6.1036 6.1036 12.3661
angles (deg): 90.00 90.00 90.00
With the nearest neighbours (Å) after each atom.
Space group I-42d (No. 122)
Asymmetric unit:
Tc (0.0000, 0.0000, 0.0000) (multiplicity 4)  4 Bi 2.65
Bi (0.2500, 0.2500, 0.1250) (multiplicity 8)  2 Rh 2.65, 2 Tc 2.65
Rh (0.0000, 0.0000, 0.5000) (multiplicity 4)  4 Bi 2.65



Computed, not measured: Tc2BiRh after structural relaxation at the PBE-GGA level of DFT.

Summary:
ΔE to the lowest computed polymorph: 0.000 eV/atom
Formation energy: 447 meV/atom

a b c (Å): 6.4303 6.4303 6.4303
angles (deg): 90.00 90.00 90.00
With the nearest neighbours (Å) after each atom.
Space group Fm-3m (No. 225)
Asymmetric unit:
Tc (0.2500, 0.2500, 0.2500) (multiplicity 8)  4 Rh 2.78, 4 Bi 2.78
Bi (0.0000, 0.0000, 0.0000) (multiplicity 4)  8 Tc 2.78
Rh (0.0000, 0.0000, 0.5000) (multiplicity 4)  8 Tc 2.78



Computed, not measured: VTc2BiRh after structural relaxation at the PBE-GGA level of DFT.

Summary:
Formation energy: 1273 meV/atom

a b c (Å): 4.4176 4.4176 5.0378
angles (deg): 90.00 90.00 90.00
With the nearest neighbours (Å) after each atom.
Space group P4/mmm (No. 123)
Asymmetric unit:
V (0.0000, 0.0000, 0.0000) (multiplicity 1)  4 Tc 2.21
Tc (0.0000, 0.5000, 0.0000) (multiplicity 2)  2 V 2.21
Bi (0.0000, 0.0000, 0.5000) (multiplicity 1)  2 V 2.52
Rh (0.5000, 0.5000, 0.5000) (multiplicity 1)  4 Bi 3.12, 8 Tc 3.35



Computed, not measured: Bi2TeRh3 after structural relaxation at the PBE-GGA level of DFT.

Summary:
Formation energy (no corrections): -45 meV per atom

a b c (Å): 5.8933 12.7423 7.1228
angles (deg): 90.00 109.18 90.00
With the nearest neighbours (Å) after each atom.
Space group C2/c (No. 15)
Asymmetric unit:
Bi (0.0000, 0.0305, 0.2500) (multiplicity 4)  6 Rh 2.78-2.93
Bi (0.0000, 0.3239, 0.2500) (multiplicity 4)  6 Rh 2.86-3.19
Te (0.0000, 0.3411, 0.7500) (multiplicity 4)  6 Rh 2.60-2.72
Rh (0.0000, 0.5000, 0.0000) (multiplicity 4)  2 Te 2.70, 4 Bi 2.86-2.93
Rh (0.0956, 0.1581, 0.9566) (multiplicity 8)  2 Te 2.60-2.72, 2 Bi 2.78-2.85, 2 Rh 2.78-2.91



Computed, not measured: BiTe2Rh2 after structural relaxation at the PBE-GGA level of DFT.

Summary:
Formation energy (no corrections): 85 meV per atom

a b c (Å): 4.4700 4.4700 11.5031
angles (deg): 90.00 90.00 90.00
With the nearest neighbours (Å) after each atom.
Space group I4/mmm (No. 139)
Asymmetric unit:
Bi (0.0000, 0.0000, 0.0000) (multiplicity 2)  8 Rh 3.44, 8 Te 3.64
Te (0.0000, 0.5000, 0.2500) (multiplicity 4)  4 Rh 2.70
Rh (0.0000, 0.0000, 0.3824) (multiplicity 4)  4 Te 2.70, 1 Rh 2.71



Computed, not measured: Bi4TeRh after structural relaxation at the PBE-GGA level of DFT.

Summary:
ΔE to the lowest computed polymorph: 0.000 eV/atom
Formation energy (no corrections): -122 meV per atom

a b c (Å): 9.1298 13.6950 6.1974
angles (deg): 90.00 111.28 90.00
With the nearest neighbours (Å) after each atom.
Space group C2/c (No. 15)
Asymmetric unit:
Bi (0.1022, 0.1685, 0.0797) (multiplicity 8)  2 Rh 2.85-2.99
Bi (0.2438, 0.4323, 0.3750) (multiplicity 8)  2 Rh 2.82-2.86
Te (0.0000, 0.3810, 0.7500) (multiplicity 4)  6 Bi 3.29-3.48
Rh (0.0000, 0.0140, 0.7500) (multiplicity 4)  8 Bi 2.82-2.99, 2 Rh 3.12



Computed, not measured: Bi8Te2Rh3 after structural relaxation at the PBE-GGA level of DFT.

Summary:
Formation energy (no corrections): -89 meV per atom

a b c (Å): 9.5698 4.7698 9.6363
angles (deg): 90.00 117.08 90.00
With the nearest neighbours (Å) after each atom.
Space group P2/m (No. 10)
Asymmetric unit:
Bi (0.1019, 0.0000, 0.4019) (multiplicity 2)  4 Rh 2.89-3.16
Bi (0.1380, 0.5000, 0.8370) (multiplicity 2)  3 Rh 2.90
Bi (0.3394, 0.5000, 0.6400) (multiplicity 2)  3 Rh 2.89-2.91
Bi (0.3970, 0.0000, 0.1007) (multiplicity 2)  2 Rh 2.85-2.86
Te (0.2645, 0.5000, 0.2297) (multiplicity 2)  4 Bi 3.21-3.41
Rh (0.0000, 0.5000, 0.5000) (multiplicity 1)  8 Bi 2.89-2.90
Rh (0.2688, 0.0000, 0.7688) (multiplicity 2)  8 Bi 2.85-3.16



Computed, not measured: BiTe4Rh after structural relaxation at the PBE-GGA level of DFT.

Summary:
Formation energy (no corrections): -177 meV per atom

a b c (Å): 7.8149 6.6718 6.7027
angles (deg): 90.00 91.94 90.00
With the nearest neighbours (Å) after each atom.
Space group P2_1/c (No. 14)
Asymmetric unit:
Bi (0.0000, 0.0000, 0.0000) (multiplicity 2)  6 Te 3.14-3.39
Te (0.1710, 0.0811, 0.5861) (multiplicity 4)  1 Rh 2.71
Te (0.4075, 0.6329, 0.6324) (multiplicity 4)  2 Rh 2.69-2.71, 1 Te 2.93
Rh (0.5000, 0.0000, 0.5000) (multiplicity 2)  6 Te 2.69-2.71



Computed, not measured: BiTeRh after structural relaxation at the PBE-GGA level of DFT.

Summary:
Formation energy (no corrections): -374 meV per atom

a b c (Å): 6.6027 6.6027 6.6027
angles (deg): 90.00 90.00 90.00
With the nearest neighbours (Å) after each atom.
Space group P2_13 (No. 198)
Asymmetric unit:
Bi (0.1317, 0.3683, 0.6317) (multiplicity 4)  3 Rh 2.77, 1 Te 2.96
Te (0.1274, 0.1274, 0.1274) (multiplicity 4)  3 Rh 2.69, 1 Bi 2.96
Rh (0.0070, 0.9930, 0.4930) (multiplicity 4)  3 Te 2.69, 3 Bi 2.77



Computed, not measured: BiTeRh after structural relaxation at the PBE-GGA level of DFT.

Summary:
Formation energy (no corrections): -371 meV per atom

a b c (Å): 4.1007 5.5250 6.6109
angles (deg): 90.00 90.00 90.00
With the nearest neighbours (Å) after each atom.
Space group Pmn2_1 (No. 31)
Asymmetric unit:
Bi (0.0000, 0.0234, 0.0000) (multiplicity 2)  3 Rh 2.73-2.75, 1 Te 3.02
Te (0.0000, 0.4616, 0.7264) (multiplicity 2)  3 Rh 2.65-2.70
Rh (0.0000, 0.2643, 0.3606) (multiplicity 2)  3 Te 2.65-2.70, 3 Bi 2.73-2.75



Computed, not measured: BiTeRh after structural relaxation at the PBE-GGA level of DFT.

Summary:
Formation energy (no corrections): -368 meV per atom

a b c (Å): 6.8786 6.6103 6.8925
angles (deg): 90.00 107.04 90.00
With the nearest neighbours (Å) after each atom.
Space group P2_1/c (No. 14)
Asymmetric unit:
Bi (0.1391, 0.1395, 0.3621) (multiplicity 4)  3 Rh 2.73-2.76, 1 Te 3.02
Te (0.3560, 0.6332, 0.6412) (multiplicity 4)  3 Rh 2.66-2.69
Rh (0.2589, 0.5059, 0.2544) (multiplicity 4)  3 Te 2.66-2.69, 3 Bi 2.73-2.76



Computed, not measured: BiTeRh after structural relaxation at the PBE-GGA level of DFT.

Summary:
Formation energy (no corrections): 27 meV per atom

a b c (Å): 15.5100 3.3065 6.8287
angles (deg): 90.00 100.60 90.00
With the nearest neighbours (Å) after each atom.
Space group C2/m (No. 12)
Asymmetric unit:
Bi (0.1197, 0.0000, 0.3196) (multiplicity 4)  3 Rh 2.70-2.74
Te (0.0965, 0.5000, 0.8542) (multiplicity 4)  1 Rh 2.53
Rh (0.2006, 0.5000, 0.6092) (multiplicity 4)  1 Te 2.53, 3 Bi 2.70-2.74



Computed, not measured: BiTeRh after structural relaxation at the PBE-GGA level of DFT.

Summary:
Formation energy (no corrections): -256 meV per atom

a b c (Å): 6.6717 6.6717 6.6717
angles (deg): 90.00 90.00 90.00
With the nearest neighbours (Å) after each atom.
Space group F-43m (No. 216)
Asymmetric unit:
Bi (0.0000, 0.0000, 0.0000) (multiplicity 4)  4 Rh 2.89
Te (0.0000, 0.0000, 0.5000) (multiplicity 4)  4 Rh 2.89
Rh (0.2500, 0.2500, 0.7500) (multiplicity 4)  4 Bi 2.89, 4 Te 2.89



Computed, not measured: BiTeRh after structural relaxation at the PBE-GGA level of DFT.

Summary:
Formation energy (no corrections): -225 meV per atom

a b c (Å): 3.9178 3.9178 5.7350
angles (deg): 90.00 90.00 120.00
With the nearest neighbours (Å) after each atom.
Space group P3m1 (No. 156)
Asymmetric unit:
Bi (0.0000, 0.0000, 0.0000) (multiplicity 1)  3 Rh 2.80
Te (0.6667, 0.3333, 0.4786) (multiplicity 1)  3 Rh 2.63
Rh (0.3333, 0.6667, 0.7118) (multiplicity 1)  3 Te 2.63, 3 Bi 2.80



Computed, not measured: BiTe2Rh2 after structural relaxation at the PBE-GGA level of DFT.

Summary:
Formation energy (no corrections): -81 meV per atom

a b c (Å): 3.9181 3.9181 16.5918
angles (deg): 90.00 90.00 90.00
With the nearest neighbours (Å) after each atom.
Space group I4/mmm (No. 139)
Asymmetric unit:
Bi (0.0000, 0.0000, 0.0000) (multiplicity 2)  8 Te 3.67, 4 Bi 3.92
Te (0.0000, 0.0000, 0.3554) (multiplicity 4)  4 Rh 2.63
Rh (0.0000, 0.5000, 0.2500) (multiplicity 4)  4 Te 2.63, 4 Rh 2.77



Computed, not measured: Bi5TeRh3 after structural relaxation at the PBE-GGA level of DFT.

Summary:
Formation energy (no corrections): -61 meV per atom

a b c (Å): 12.1917 8.9905 9.7090
angles (deg): 90.00 111.67 90.00
With the nearest neighbours (Å) after each atom.
Space group C2/m (No. 12)
Asymmetric unit:
Bi (0.0000, 0.2014, 0.0000) (multiplicity 4)  3 Rh 2.68-2.75
Bi (0.0600, 0.0000, 0.3620) (multiplicity 4)  3 Rh 2.64-2.78
Bi (0.1609, 0.2984, 0.6826) (multiplicity 8)  3 Rh 2.70-2.78
Bi (0.2328, 0.5000, 0.0340) (multiplicity 4)  3 Rh 2.69-2.77
Te (0.0988, 0.5000, 0.2996) (multiplicity 4)  3 Rh 2.64-2.71
Rh (0.0000, 0.5000, 0.0000) (multiplicity 2)  4 Bi 2.68-2.73, 2 Te 2.71
Rh (0.0000, 0.5000, 0.5000) (multiplicity 2)  2 Te 2.64, 4 Bi 2.78
Rh (0.1648, 0.0000, 0.1681) (multiplicity 4)  6 Bi 2.64-2.76
Rh (0.1737, 0.0000, 0.6586) (multiplicity 4)  1 Te 2.65, 5 Bi 2.70-2.78



Computed, not measured: Bi4TeRh after structural relaxation at the PBE-GGA level of DFT.

Summary:
ΔE to the lowest computed polymorph: 0.082 eV/atom
Formation energy (no corrections): -40 meV per atom

a b c (Å): 6.9768 7.1083 8.3233
angles (deg): 71.46 68.71 89.90
With the nearest neighbours (Å) after each atom.
Space group P-1 (No. 2)
Asymmetric unit:
Bi (0.0341, 0.2284, 0.1538) (multiplicity 2)  1 Rh 2.74
Bi (0.1138, 0.3254, 0.5710) (multiplicity 2)  2 Rh 2.75
Bi (0.4008, 0.8926, 0.4018) (multiplicity 2)  2 Rh 2.79-2.81
Bi (0.4104, 0.5441, 0.8303) (multiplicity 2)  1 Rh 2.71
Te (0.2530, 0.8781, 0.0197) (multiplicity 2)  5 Bi 3.08-3.32
Rh (0.0000, 0.0000, 0.5000) (multiplicity 1)  6 Bi 2.74-2.79
Rh (0.5000, 0.5000, 0.5000) (multiplicity 1)  6 Bi 2.71-2.81



Computed, not measured: BiTe2Rh2 after structural relaxation at the PBE-GGA level of DFT.

Summary:
Formation energy (no corrections): -231 meV per atom

a b c (Å): 5.2518 4.2189 10.3560
angles (deg): 90.00 95.07 90.00
With the nearest neighbours (Å) after each atom.
Space group P2_1/m (No. 11)
Asymmetric unit:
Bi (0.0744, 0.2500, 0.2832) (multiplicity 2)  5 Rh 2.75-3.07
Te (0.2611, 0.7500, 0.0339) (multiplicity 2)  4 Rh 2.69-2.82
Te (0.3787, 0.2500, 0.6259) (multiplicity 2)  4 Rh 2.66-2.76
Rh (0.1805, 0.7500, 0.4961) (multiplicity 2)  3 Te 2.66-2.73, 1 Bi 2.75, 2 Rh 2.84
Rh (0.2170, 0.2500, 0.8728) (multiplicity 2)  5 Te 2.69-2.82, 2 Bi 2.99



Computed, not measured: Th3BiRh after structural relaxation at the PBE-GGA level of DFT.

Summary:
ΔE to the lowest computed polymorph: 0.000 eV/atom
Formation energy: -580 meV/atom

a b c (Å): 8.9147 4.3511 15.3159
angles (deg): 90.00 90.00 90.00
With the nearest neighbours (Å) after each atom.
Space group Pnma (No. 62)
Asymmetric unit:
Th (0.0242, 0.2500, 0.1071) (multiplicity 4)  3 Rh 2.89-2.94
Th (0.1536, 0.2500, 0.5056) (multiplicity 4)  2 Rh 2.86
Th (0.1836, 0.7500, 0.2765) (multiplicity 4)  1 Rh 2.75
Bi (0.0931, 0.7500, 0.6738) (multiplicity 4)  9 Th 3.34-3.56
Rh (0.1758, 0.2500, 0.9364) (multiplicity 4)  6 Th 2.75-2.94



Computed, not measured: Th5Bi2Rh after structural relaxation at the PBE-GGA level of DFT.

Summary:
ΔE to the lowest computed polymorph: 0.000 eV/atom
Formation energy: -526 meV/atom

a b c (Å): 12.7579 9.1044 8.2912
angles (deg): 90.00 90.00 90.00
With the nearest neighbours (Å) after each atom.
Space group Pnma (No. 62)
Asymmetric unit:
Th (0.0010, 0.2500, 0.0265) (multiplicity 4)  1 Rh 2.86
Th (0.0665, 0.5531, 0.3136) (multiplicity 8)  1 Rh 2.81
Th (0.1966, 0.2500, 0.6055) (multiplicity 4)  1 Rh 2.82
Th (0.2034, 0.7500, 0.6373) (multiplicity 4)  1 Rh 3.10, 4 Bi 3.28-3.30
Bi (0.1746, 0.0109, 0.9096) (multiplicity 8)  8 Th 3.25-3.61
Rh (0.0399, 0.2500, 0.3663) (multiplicity 4)  5 Th 2.81-3.10



Number 1: total DFT energy (no corrections) -0.205 hartree per atom, total magnetization 0.00 μB/cell. Number 2: total DFT energy (no corrections) -0.277 hartree per atom, total magnetization 0.00 μB/cell. Number 3: total DFT energy (no corrections) -0.255 hartree per atom, total magnetization 0.00 μB/cell. Number 4: total DFT energy (no corrections) -0.204 hartree per atom, total magnetization 0.00 μB/cell. Number 5: total DFT energy (no corrections) -0.180 hartree per atom, total magnetization 0.00 μB/cell. Number 6: total DFT energy (no corrections) -0.164 hartree per atom, total magnetization 0.00 μB/cell. Number 7: total DFT energy (no corrections) -0.171 hartree per atom, total magnetization 0.00 μB/cell. Number 8: total DFT energy (no corrections) -0.152 hartree per atom, total magnetization 0.00 μB/cell. Number 9: total DFT energy (no corrections) -0.190 hartree per atom, total magnetization 0.00 μB/cell. Number 10: total DFT energy (no corrections) -0.190 hartree per atom, total magnetization 0.00 μB/cell. Number 11: total DFT energy (no corrections) -0.190 hartree per atom, total magnetization 0.00 μB/cell. Number 12: total DFT energy (no corrections) -0.175 hartree per atom, total magnetization 0.00 μB/cell. Number 13: total DFT energy (no corrections) -0.185 hartree per atom, total magnetization 0.00 μB/cell. Number 14: total DFT energy (no corrections) -0.184 hartree per atom, total magnetization 0.00 μB/cell. Number 15: total DFT energy (no corrections) -0.186 hartree per atom, total magnetization 0.00 μB/cell. Number 16: total DFT energy (no corrections) -0.184 hartree per atom, total magnetization 0.00 μB/cell. Number 17: total DFT energy (no corrections) -0.161 hartree per atom, total magnetization 0.00 μB/cell. Number 18: total DFT energy (no corrections) -0.191 hartree per atom, total magnetization 0.00 μB/cell. Number 19: total DFT energy (no corrections) -0.267 hartree per atom, total magnetization 0.00 μB/cell. Number 20: total DFT energy (no corrections) -0.259 hartree per atom, total magnetization 0.00 μB/cell.